(1)
Below is crystalline CuHIO4 at its relaxed geometry, with properties calculated at the GGA-PBEsol level.

Structure (CIF):
```
data_CuHIO4
_chemical_formula_sum 'Cu4 H4 I4 O16'
_cell_length_a 10.9412
_cell_length_b 6.5976
_cell_length_c 4.6005
_cell_angle_alpha 90.00
_cell_angle_beta 90.00
_cell_angle_gamma 90.00
_symmetry_space_group_name_H-M 'P n m a'
_symmetry_Int_Tables_number 62
_symmetry_space_group_name_Hall '-P 2ac 2n'
loop_
_atom_site_label
_atom_site_type_symbol
_atom_site_fract_x
_atom_site_fract_y
_atom_site_fract_z
Cu1 Cu 0.0000 0.0000 0.0000
H1 H 0.0149 0.2500 0.4036
I1 I 0.2408 0.7500 0.9493
O1 O 0.0284 0.7500 0.7934
O2 O 0.1155 0.2500 0.6538
O3 O 0.1628 0.5442 0.1646
```

Computed properties:
Total moment in Bohr magnetons per cell: 4.06
E in eV/atom: -4.8972

(2)
Below is crystalline CuHOs2I at its relaxed geometry, with properties calculated at the GGA-PBEsol level.

Structure (CIF):
```
data_CuHOs2I
_chemical_formula_sum 'Cu1 H1 Os2 I1'
_cell_length_a 4.7512
_cell_length_b 4.7512
_cell_length_c 3.1098
_cell_angle_alpha 90.00
_cell_angle_beta 90.00
_cell_angle_gamma 90.00
_symmetry_space_group_name_H-M 'P 4/m m m'
_symmetry_Int_Tables_number 123
_symmetry_space_group_name_Hall '-P 4 2'
loop_
_atom_site_label
_atom_site_type_symbol
_atom_site_fract_x
_atom_site_fract_y
_atom_site_fract_z
Cu1 Cu 0.0000 0.0000 0.0000
H1 H 0.0000 0.0000 0.5000
Os1 Os 0.0000 0.5000 0.0000
I1 I 0.5000 0.5000 0.5000
```

Computed properties:
Total moment in Bohr magnetons per cell: 0.00
E in eV/atom: -5.2727

(3)
Below is crystalline CuSbHI2 at its relaxed geometry, with properties calculated at the GGA-PBEsol level.

Structure (CIF):
```
data_CuSbHI2
_chemical_formula_sum 'Cu1 Sb1 H1 I2'
_cell_length_a 5.5118
_cell_length_b 5.5118
_cell_length_c 4.8363
_cell_angle_alpha 90.00
_cell_angle_beta 90.00
_cell_angle_gamma 90.00
_symmetry_space_group_name_H-M 'P 4/m m m'
_symmetry_Int_Tables_number 123
_symmetry_space_group_name_Hall '-P 4 2'
loop_
_atom_site_label
_atom_site_type_symbol
_atom_site_fract_x
_atom_site_fract_y
_atom_site_fract_z
Cu1 Cu 0.0000 0.0000 0.0000
Sb1 Sb 0.0000 0.0000 0.5000
H1 H 0.5000 0.5000 0.5000
I1 I 0.0000 0.5000 0.0000
```

Computed properties:
Total moment in Bohr magnetons per cell: 0.99
E in eV/atom: -2.4307

(4)
Below is crystalline In3CuH at its relaxed geometry, with properties calculated at the GGA-PBEsol level.

Structure (CIF):
```
data_In3CuH
_chemical_formula_sum 'In3 Cu1 H1'
_cell_length_a 4.9291
_cell_length_b 4.9291
_cell_length_c 4.9291
_cell_angle_alpha 90.00
_cell_angle_beta 90.00
_cell_angle_gamma 90.00
_symmetry_space_group_name_H-M 'P m -3 m'
_symmetry_Int_Tables_number 221
_symmetry_space_group_name_Hall '-P 4 2 3'
loop_
_atom_site_label
_atom_site_type_symbol
_atom_site_fract_x
_atom_site_fract_y
_atom_site_fract_z
In1 In 0.0000 0.0000 0.5000
Cu1 Cu 0.0000 0.0000 0.0000
H1 H 0.5000 0.5000 0.5000
```

Computed properties:
Total moment in Bohr magnetons per cell: 0.00
E in eV/atom: -2.8132

(5)
Below is crystalline ZnIn2CuH at its relaxed geometry, with properties calculated at the GGA-PBEsol level.

Structure (CIF):
```
data_ZnIn2CuH
_chemical_formula_sum 'Zn1 In2 Cu1 H1'
_cell_length_a 5.0612
_cell_length_b 5.0612
_cell_length_c 4.4861
_cell_angle_alpha 90.00
_cell_angle_beta 90.00
_cell_angle_gamma 90.00
_symmetry_space_group_name_H-M 'P 4/m m m'
_symmetry_Int_Tables_number 123
_symmetry_space_group_name_Hall '-P 4 2'
loop_
_atom_site_label
_atom_site_type_symbol
_atom_site_fract_x
_atom_site_fract_y
_atom_site_fract_z
Zn1 Zn 0.0000 0.0000 0.0000
In1 In 0.0000 0.5000 0.0000
Cu1 Cu 0.0000 0.0000 0.5000
H1 H 0.5000 0.5000 0.5000
```

Computed properties:
Total moment in Bohr magnetons per cell: 0.00
E in eV/atom: -2.2292

(6)
Below is crystalline Cu3HIr at its relaxed geometry, with properties calculated at the GGA-PBEsol level.

Structure (CIF):
```
data_Cu3HIr
_chemical_formula_sum 'Cu3 H1 Ir1'
_cell_length_a 3.6953
_cell_length_b 3.6953
_cell_length_c 3.6953
_cell_angle_alpha 90.00
_cell_angle_beta 90.00
_cell_angle_gamma 90.00
_symmetry_space_group_name_H-M 'P m -3 m'
_symmetry_Int_Tables_number 221
_symmetry_space_group_name_Hall '-P 4 2 3'
loop_
_atom_site_label
_atom_site_type_symbol
_atom_site_fract_x
_atom_site_fract_y
_atom_site_fract_z
Cu1 Cu 0.0000 0.0000 0.5000
H1 H 0.0000 0.0000 0.0000
Ir1 Ir 0.5000 0.5000 0.5000
```

Computed properties:
Total moment in Bohr magnetons per cell: 0.00
E in eV/atom: -4.9991

(7)
Below is crystalline Y2CuHIr at its relaxed geometry, with properties calculated at the GGA-PBEsol level.

Structure (CIF):
```
data_Y2CuHIr
_chemical_formula_sum 'Y2 Cu1 H1 Ir1'
_cell_length_a 5.1348
_cell_length_b 5.1348
_cell_length_c 4.4343
_cell_angle_alpha 90.00
_cell_angle_beta 90.00
_cell_angle_gamma 90.00
_symmetry_space_group_name_H-M 'P 4/m m m'
_symmetry_Int_Tables_number 123
_symmetry_space_group_name_Hall '-P 4 2'
loop_
_atom_site_label
_atom_site_type_symbol
_atom_site_fract_x
_atom_site_fract_y
_atom_site_fract_z
Y1 Y 0.0000 0.5000 0.0000
Cu1 Cu 0.0000 0.0000 0.0000
H1 H 0.5000 0.5000 0.5000
Ir1 Ir 0.0000 0.0000 0.5000
```

Computed properties:
Total moment in Bohr magnetons per cell: 0.00
E in eV/atom: -5.5490

(8)
Below is crystalline K2CuH4 at its relaxed geometry, with properties calculated at the GGA-PBEsol level.

Structure (CIF):
```
data_K2CuH4
_chemical_formula_sum 'K4 Cu2 H8'
_cell_length_a 5.6935
_cell_length_b 5.6935
_cell_length_c 7.3250
_cell_angle_alpha 90.00
_cell_angle_beta 90.00
_cell_angle_gamma 90.00
_symmetry_space_group_name_H-M 'I 4/m m m'
_symmetry_Int_Tables_number 139
_symmetry_space_group_name_Hall '-I 4 2'
loop_
_atom_site_label
_atom_site_type_symbol
_atom_site_fract_x
_atom_site_fract_y
_atom_site_fract_z
K1 K 0.0000 0.5000 0.2500
Cu1 Cu 0.0000 0.0000 0.0000
H1 H 0.1976 0.1976 0.0000
```

Computed properties:
Total moment in Bohr magnetons per cell: 0.00
E in eV/atom: -2.8381